(1)
Here is a PBEsol-optimized structure of CsSeBr3 from the Alexandria database. Energies are from meta-GGA SCAN.

D(E_F) (states/eV/f.u.): 0.0
Energy relative to the elements, uncorrected (eV/atom): -0.882
Total moment (μB/f.u.): 0.0

Structure (CIF):
```
data_CsSeBr3
_space_group_name_H-M_alt 'P 1'
_space_group_IT_number 1
_space_group_name_Hall 'P 1'
_cell_length_a 5.464
_cell_length_b 7.770
_cell_length_c 8.829
_cell_angle_alpha 90.00
_cell_angle_beta 90.00
_cell_angle_gamma 101.25
loop_
_atom_site_label
_atom_site_type_symbol
_atom_site_fract_x
_atom_site_fract_y
_atom_site_fract_z
_atom_site_occupancy
Br1 Br 0.697 0.700 0.989 1
Cs1 Cs 0.811 0.345 0.750 1
Se1 Se 0.000 0.000 0.000 1
Br2 Br 0.303 0.300 0.489 1
Br3 Br 0.790 0.074 0.250 1
Cs2 Cs 0.189 0.655 0.250 1
Se2 Se 0.000 0.000 0.500 1
Br4 Br 0.303 0.300 0.011 1
Br5 Br 0.697 0.700 0.511 1
Br6 Br 0.210 0.926 0.750 1
```

=====

(2)
Here is a PBEsol-optimized structure of MgCoW from the Alexandria database. Energies are from meta-GGA SCAN.

D(E_F) (states/eV/f.u.): 4.6
Energy of formation from the pure elements (eV per atom): 1.89
Total moment (μB/f.u.): 2.6

Structure (CIF):
```
data_MgCoW
_space_group_name_H-M_alt 'P 1'
_space_group_IT_number 1
_space_group_name_Hall 'P 1'
_cell_length_a 4.118
_cell_length_b 4.118
_cell_length_c 4.118
_cell_angle_alpha 60.00
_cell_angle_beta 60.00
_cell_angle_gamma 60.00
loop_
_atom_site_label
_atom_site_type_symbol
_atom_site_fract_x
_atom_site_fract_y
_atom_site_fract_z
_atom_site_occupancy
Mg1 Mg 0.250 0.250 0.250 1
W1 W 0.000 0.000 0.000 1
Co1 Co 0.500 0.500 0.500 1
```

=====

(3)
Here is a PBEsol-optimized structure of CdBr3 from the Alexandria database. Energies are from meta-GGA SCAN.

D(E_F) (states/eV/f.u.): 2.7
Energy relative to the elements, uncorrected (eV/atom): -0.040
Total moment (μB/f.u.): 0.0

Structure (CIF):
```
data_CdBr3
_space_group_name_H-M_alt 'P 1'
_space_group_IT_number 1
_space_group_name_Hall 'P 1'
_cell_length_a 5.157
_cell_length_b 5.242
_cell_length_c 5.242
_cell_angle_alpha 70.20
_cell_angle_beta 70.86
_cell_angle_gamma 109.14
loop_
_atom_site_label
_atom_site_type_symbol
_atom_site_fract_x
_atom_site_fract_y
_atom_site_fract_z
_atom_site_occupancy
Cd1 Cd 0.000 0.000 0.000 1
Br1 Br 0.500 0.500 0.000 1
Br2 Br 0.000 0.500 0.500 1
Br3 Br 0.500 0.000 0.500 1
```

=====

(4)
Here is a PBEsol-optimized structure of Co3OsPb from the Alexandria database. Energies are from meta-GGA SCAN.

D(E_F) (states/eV/f.u.): 3.7
Energy of formation from the pure elements (eV per atom): 2.40
Total moment (μB/f.u.): 7.4

Structure (CIF):
```
data_Co3OsPb
_space_group_name_H-M_alt 'P 1'
_space_group_IT_number 1
_space_group_name_Hall 'P 1'
_cell_length_a 4.559
_cell_length_b 4.559
_cell_length_c 4.559
_cell_angle_alpha 90.00
_cell_angle_beta 90.00
_cell_angle_gamma 90.00
loop_
_atom_site_label
_atom_site_type_symbol
_atom_site_fract_x
_atom_site_fract_y
_atom_site_fract_z
_atom_site_occupancy
Os1 Os 0.500 0.500 0.500 1
Co1 Co 0.500 0.000 0.000 1
Co2 Co 0.000 0.500 0.000 1
Pb1 Pb 0.000 0.000 0.000 1
Co3 Co 0.000 0.000 0.500 1
```

=====

(5)
Here is a PBEsol-optimized structure of PmEuZn2 from the Alexandria database. Energies are from meta-GGA SCAN.

D(E_F) (states/eV/f.u.): 2.6
Energy of formation from the pure elements (eV per atom): -0.33
Total moment (μB/f.u.): 7.2

Structure (CIF):
```
data_PmEuZn2
_space_group_name_H-M_alt 'P 1'
_space_group_IT_number 1
_space_group_name_Hall 'P 1'
_cell_length_a 5.113
_cell_length_b 5.113
_cell_length_c 5.113
_cell_angle_alpha 60.00
_cell_angle_beta 60.00
_cell_angle_gamma 60.00
loop_
_atom_site_label
_atom_site_type_symbol
_atom_site_fract_x
_atom_site_fract_y
_atom_site_fract_z
_atom_site_occupancy
Zn1 Zn 0.250 0.250 0.250 1
Zn2 Zn 0.750 0.750 0.750 1
Pm1 Pm 0.500 0.500 0.500 1
Eu1 Eu 0.000 0.000 0.000 1
```

=====

(6)
Here is a PBEsol-optimized structure of MgMn3Sn from the Alexandria database. Energies are from meta-GGA SCAN.

D(E_F) (states/eV/f.u.): 3.8
Energy of formation from the pure elements (eV per atom): 0.63
Total moment (μB/f.u.): 12.1

Structure (CIF):
```
data_MgMn3Sn
_space_group_name_H-M_alt 'P 1'
_space_group_IT_number 1
_space_group_name_Hall 'P 1'
_cell_length_a 4.930
_cell_length_b 4.930
_cell_length_c 4.930
_cell_angle_alpha 90.00
_cell_angle_beta 90.00
_cell_angle_gamma 90.00
loop_
_atom_site_label
_atom_site_type_symbol
_atom_site_fract_x
_atom_site_fract_y
_atom_site_fract_z
_atom_site_occupancy
Mn1 Mn 0.000 0.500 0.000 1
Mg1 Mg 0.500 0.500 0.500 1
Mn2 Mn 0.500 0.000 0.000 1
Sn1 Sn 0.000 0.000 0.000 1
Mn3 Mn 0.000 0.000 0.500 1
```

=====

(7)
Here is a PBEsol-optimized structure of Th7Ir3 from the Alexandria database. Energies are from meta-GGA SCAN.

D(E_F) (states/eV/f.u.): 9.6
Energy of formation from the pure elements (eV per atom): -0.79
Total moment (μB/f.u.): 0.0

Structure (CIF):
```
data_Th7Ir3
_space_group_name_H-M_alt 'P 1'
_space_group_IT_number 1
_space_group_name_Hall 'P 1'
_cell_length_a 6.207
_cell_length_b 9.946
_cell_length_c 9.946
_cell_angle_alpha 120.00
_cell_angle_beta 90.00
_cell_angle_gamma 90.00
loop_
_atom_site_label
_atom_site_type_symbol
_atom_site_fract_x
_atom_site_fract_y
_atom_site_fract_z
_atom_site_occupancy
Ir1 Ir 0.947 0.188 0.812 1
Th1 Th 0.998 0.256 0.128 1
Th2 Th 0.191 0.667 0.333 1
Th3 Th 0.498 0.128 0.256 1
Th4 Th 0.211 0.458 0.916 1
Th5 Th 0.998 0.872 0.128 1
Th6 Th 0.691 0.333 0.667 1
Ir2 Ir 0.447 0.375 0.188 1
Th7 Th 0.211 0.084 0.542 1
Th8 Th 0.711 0.542 0.458 1
Ir3 Ir 0.947 0.188 0.375 1
Th9 Th 0.711 0.542 0.084 1
Th10 Th 0.711 0.916 0.458 1
Ir4 Ir 0.447 0.812 0.188 1
Ir5 Ir 0.447 0.812 0.625 1
Ir6 Ir 0.947 0.625 0.812 1
Th11 Th 0.498 0.128 0.872 1
Th12 Th 0.498 0.744 0.872 1
Th13 Th 0.998 0.872 0.744 1
Th14 Th 0.211 0.458 0.542 1
```

=====

(8)
Here is a PBEsol-optimized structure of LiYAu2 from the Alexandria database. Energies are from meta-GGA SCAN.

D(E_F) (states/eV/f.u.): 2.2
Polymorph energy (0 for the lowest one) (meV/atom): 72
Energy of formation from the pure elements (eV per atom): -0.81
Total moment (μB/f.u.): 0.0

Structure (CIF):
```
data_LiYAu2
_space_group_name_H-M_alt 'P 1'
_space_group_IT_number 1
_space_group_name_Hall 'P 1'
_cell_length_a 4.196
_cell_length_b 4.201
_cell_length_c 5.158
_cell_angle_alpha 114.03
_cell_angle_beta 114.00
_cell_angle_gamma 90.00
loop_
_atom_site_label
_atom_site_type_symbol
_atom_site_fract_x
_atom_site_fract_y
_atom_site_fract_z
_atom_site_occupancy
Y1 Y 0.250 0.750 0.500 1
Li1 Li 0.500 0.500 0.000 1
Au1 Au 0.000 0.000 0.000 1
Au2 Au 0.750 0.250 0.500 1
```

=====

(9)
Here is a PBEsol-optimized structure of ScAlRe3 from the Alexandria database. Energies are from meta-GGA SCAN.

D(E_F) (states/eV/f.u.): 4.7
Energy of formation from the pure elements (eV per atom): 1.25
Total moment (μB/f.u.): 0.0

Structure (CIF):
```
data_ScAlRe3
_space_group_name_H-M_alt 'P 1'
_space_group_IT_number 1
_space_group_name_Hall 'P 1'
_cell_length_a 4.458
_cell_length_b 4.458
_cell_length_c 4.458
_cell_angle_alpha 90.00
_cell_angle_beta 90.00
_cell_angle_gamma 90.00
loop_
_atom_site_label
_atom_site_type_symbol
_atom_site_fract_x
_atom_site_fract_y
_atom_site_fract_z
_atom_site_occupancy
Re1 Re 0.000 0.500 0.000 1
Al1 Al 0.000 0.000 0.000 1
Sc1 Sc 0.500 0.500 0.500 1
Re2 Re 0.500 0.000 0.000 1
Re3 Re 0.000 0.000 0.500 1
```

=====

(10)
Here is a PBEsol-optimized structure of Mg2TiSiTe from the Alexandria database. Energies are from meta-GGA SCAN.

D(E_F) (states/eV/f.u.): 3.1
Energy relative to the elements, uncorrected (eV/atom): 0.895
Total moment (μB/f.u.): 1.6

Structure (CIF):
```
data_Mg2TiSiTe
_space_group_name_H-M_alt 'P 1'
_space_group_IT_number 1
_space_group_name_Hall 'P 1'
_cell_length_a 4.995
_cell_length_b 5.287
_cell_length_c 5.287
_cell_angle_alpha 90.00
_cell_angle_beta 90.00
_cell_angle_gamma 90.00
loop_
_atom_site_label
_atom_site_type_symbol
_atom_site_fract_x
_atom_site_fract_y
_atom_site_fract_z
_atom_site_occupancy
Ti1 Ti 0.000 0.000 0.000 1
Mg1 Mg 0.000 0.000 0.500 1
Te1 Te 0.500 0.000 0.000 1
Mg2 Mg 0.000 0.500 0.000 1
Si1 Si 0.500 0.500 0.500 1
```

=====

(11)
Here is a PBEsol-optimized structure of Co3GeP from the Alexandria database. Energies are from meta-GGA SCAN.

D(E_F) (states/eV/f.u.): 3.8
Energy of formation from the pure elements (eV per atom): 1.10
Total moment (μB/f.u.): 3.4

Structure (CIF):
```
data_Co3GeP
_space_group_name_H-M_alt 'P 1'
_space_group_IT_number 1
_space_group_name_Hall 'P 1'
_cell_length_a 4.237
_cell_length_b 4.237
_cell_length_c 4.237
_cell_angle_alpha 90.00
_cell_angle_beta 90.00
_cell_angle_gamma 90.00
loop_
_atom_site_label
_atom_site_type_symbol
_atom_site_fract_x
_atom_site_fract_y
_atom_site_fract_z
_atom_site_occupancy
P1 P 0.500 0.500 0.500 1
Co1 Co 0.000 0.500 0.000 1
Ge1 Ge 0.000 0.000 0.000 1
Co2 Co 0.000 0.000 0.500 1
Co3 Co 0.500 0.000 0.000 1
```

=====

(12)
Here is a PBEsol-optimized structure of LiTc2P from the Alexandria database. Energies are from meta-GGA SCAN.

D(E_F) (states/eV/f.u.): 2.5
Energy of formation from the pure elements (eV per atom): 0.07
Total moment (μB/f.u.): 0.0

Structure (CIF):
```
data_LiTc2P
_space_group_name_H-M_alt 'P 1'
_space_group_IT_number 1
_space_group_name_Hall 'P 1'
_cell_length_a 4.538
_cell_length_b 5.579
_cell_length_c 5.579
_cell_angle_alpha 80.48
_cell_angle_beta 66.00
_cell_angle_gamma 66.00
loop_
_atom_site_label
_atom_site_type_symbol
_atom_site_fract_x
_atom_site_fract_y
_atom_site_fract_z
_atom_site_occupancy
Li1 Li 0.500 0.000 0.000 1
Li2 Li 0.250 0.500 0.500 1
Tc1 Tc 0.049 0.076 0.576 1
Tc2 Tc 0.375 0.576 0.924 1
P1 P 0.750 0.500 0.500 1
Tc3 Tc 0.875 0.424 0.076 1
P2 P 0.000 0.000 0.000 1
Tc4 Tc 0.701 0.924 0.424 1
```

=====

(13)
Here is a PBEsol-optimized structure of SrHfFe3 from the Alexandria database. Energies are from meta-GGA SCAN.

D(E_F) (states/eV/f.u.): 7.3
Energy of formation from the pure elements (eV per atom): 2.18
Total moment (μB/f.u.): 7.3

Structure (CIF):
```
data_SrHfFe3
_space_group_name_H-M_alt 'P 1'
_space_group_IT_number 1
_space_group_name_Hall 'P 1'
_cell_length_a 4.512
_cell_length_b 4.512
_cell_length_c 4.512
_cell_angle_alpha 90.00
_cell_angle_beta 90.00
_cell_angle_gamma 90.00
loop_
_atom_site_label
_atom_site_type_symbol
_atom_site_fract_x
_atom_site_fract_y
_atom_site_fract_z
_atom_site_occupancy
Fe1 Fe 0.500 0.000 0.000 1
Hf1 Hf 0.500 0.500 0.500 1
Sr1 Sr 0.000 0.000 0.000 1
Fe2 Fe 0.000 0.500 0.000 1
Fe3 Fe 0.000 0.000 0.500 1
```

=====

(14)
Here is a PBEsol-optimized structure of TcIr2Pt from the Alexandria database. Energies are from meta-GGA SCAN.

D(E_F) (states/eV/f.u.): 3.6
Polymorph energy (0 for the lowest one) (meV/atom): 0
Energy of formation from the pure elements (eV per atom): -0.16
Total moment (μB/f.u.): 0.0

Structure (CIF):
```
data_TcIr2Pt
_space_group_name_H-M_alt 'P 1'
_space_group_IT_number 1
_space_group_name_Hall 'P 1'
_cell_length_a 2.713
_cell_length_b 2.713
_cell_length_c 7.725
_cell_angle_alpha 90.00
_cell_angle_beta 90.00
_cell_angle_gamma 90.00
loop_
_atom_site_label
_atom_site_type_symbol
_atom_site_fract_x
_atom_site_fract_y
_atom_site_fract_z
_atom_site_occupancy
Pt1 Pt 0.500 0.500 0.000 1
Tc1 Tc 0.500 0.500 0.500 1
Ir1 Ir 0.000 0.000 0.261 1
Ir2 Ir 0.000 0.000 0.739 1
```